Material: ScSnOs3
Method: DFT, PBE
State: relaxed

* polymorph energy (0 for the lowest one): 0.000 eV per atom
* uncorrected energy: -34.44 eV/cell
* DOS at the Fermi energy: 7.3 states/eV/cell
* energy of formation from the pure elements: 1.92 eV per atom

Cell: 4.8000 4.8000 4.8000 Å, 90.00 90.00 90.00°
Last column: nearest neighbours and their distance in Å.
Fractional coordinates of all 5 atoms:
Sc1 0.0000 0.0000 0.0000  12 Os 3.39
Sn1 0.5000 0.5000 0.5000  6 Os 2.40
Os1 0.0000 0.5000 0.5000  2 Sn 2.40
Os2 0.5000 0.0000 0.5000  2 Sn 2.40
Os3 0.5000 0.5000 0.0000  2 Sn 2.40